# PbWBr (PBE-GGA, relaxed)
data_PbWBr
_cell_length_a 3.2283
_cell_length_b 3.2283
_cell_length_c 8.1713
_cell_angle_alpha 90.00
_cell_angle_beta 90.00
_cell_angle_gamma 120.00
_symmetry_space_group_name_H-M 'P 1'
_symmetry_Int_Tables_number 1
loop_
_symmetry_equiv_pos_as_xyz
'x,y,z'
loop_
_atom_site_label
_atom_site_fract_x
_atom_site_fract_y
_atom_site_fract_z
Pb1 0.0000 0.0000 0.0000
W1 0.6667 0.3333 0.3013
Br1 0.3333 0.6667 0.5231
# M_tot	0.00	μB/cell
# E_form (uncorrected)	1.6	eV/f.u.
# DOS at the Fermi energy	1.437	states/eV per cell
# polymorph energy (0 for the lowest one)	0	meV/atom
# VASP energy	-0.41100	Ry/atom



# PbWBr2 (PBE-GGA, relaxed)
data_PbWBr2
_cell_length_a 3.2994
_cell_length_b 4.9200
_cell_length_c 6.1149
_cell_angle_alpha 90.00
_cell_angle_beta 90.00
_cell_angle_gamma 90.00
_symmetry_space_group_name_H-M 'P 1'
_symmetry_Int_Tables_number 1
loop_
_symmetry_equiv_pos_as_xyz
'x,y,z'
loop_
_atom_site_label
_atom_site_fract_x
_atom_site_fract_y
_atom_site_fract_z
Pb1 0.0000 0.0000 0.0000
W1 0.5000 0.0000 0.5000
Br1 0.0000 0.5000 0.5000
Br2 0.5000 0.5000 0.0000
# M_tot	2.59	μB/cell
# E_form (uncorrected)	3.3	eV/f.u.
# DOS at the Fermi energy	2.499	states/eV per cell
# polymorph energy (0 for the lowest one)	561	meV/atom
# VASP energy	-0.30695	Ry/atom



# YPb2Br (PBE-GGA, relaxed)
data_YPb2Br
_cell_length_a 3.8596
_cell_length_b 3.9103
_cell_length_c 9.2812
_cell_angle_alpha 90.00
_cell_angle_beta 101.92
_cell_angle_gamma 90.00
_symmetry_space_group_name_H-M 'P 1'
_symmetry_Int_Tables_number 1
loop_
_symmetry_equiv_pos_as_xyz
'x,y,z'
loop_
_atom_site_label
_atom_site_fract_x
_atom_site_fract_y
_atom_site_fract_z
Y1 0.0000 0.0000 0.0000
Pb1 0.3966 0.5000 0.7918
Pb2 0.7985 0.0000 0.5939
Br1 0.1109 0.5000 0.2224
# M_tot	0.00	μB/cell
# E_form (uncorrected)	-2.3	eV/f.u.
# DOS at the Fermi energy	2.356	states/eV per cell
# polymorph energy (0 for the lowest one)	15	meV/atom
# VASP energy	-0.32758	Ry/atom



Q: Which value of M_tot does entry 1 give?
A: 0.00 μB/cell



Copy entry 2 word for word.
# PbWBr2 (PBE-GGA, relaxed)
data_PbWBr2
_cell_length_a 3.2994
_cell_length_b 4.9200
_cell_length_c 6.1149
_cell_angle_alpha 90.00
_cell_angle_beta 90.00
_cell_angle_gamma 90.00
_symmetry_space_group_name_H-M 'P 1'
_symmetry_Int_Tables_number 1
loop_
_symmetry_equiv_pos_as_xyz
'x,y,z'
loop_
_atom_site_label
_atom_site_fract_x
_atom_site_fract_y
_atom_site_fract_z
Pb1 0.0000 0.0000 0.0000
W1 0.5000 0.0000 0.5000
Br1 0.0000 0.5000 0.5000
Br2 0.5000 0.5000 0.0000
# M_tot	2.59	μB/cell
# E_form (uncorrected)	3.3	eV/f.u.
# DOS at the Fermi energy	2.499	states/eV per cell
# polymorph energy (0 for the lowest one)	561	meV/atom
# VASP energy	-0.30695	Ry/atom